A plane-wave DFT calculation with GGA-PBE was carried out for a relaxed structure of Ce2NpSbN5.

a = 7.1073 Å, b = 7.1073 Å, c = 11.0565 Å
α = 90.00°, β = 90.00°, γ = 151.41°
Closest atoms and distances in Å follow each position.
Element x y z (fractional)
Ce: 0.1201 0.8799 0.5000  4 N 2.40-2.61
Ce: 0.1302 0.8698 0.0751  4 N 2.34-2.43
Ce: 0.8698 0.1302 0.5751  4 N 2.34-2.43
Ce: 0.8799 0.1201 0.0000  4 N 2.40-2.61
Np: 0.2145 0.7855 0.7981  5 N 2.15-2.32
Np: 0.7855 0.2145 0.2981  5 N 2.15-2.32
Sb: 0.4814 0.5186 0.2834  4 N 2.11-2.15
Sb: 0.5186 0.4814 0.7834  4 N 2.11-2.15
N: 0.0370 0.9630 0.8939  2 Sb 2.15, 1 Ce 2.38
N: 0.2855 0.7145 0.1610  2 Np 2.32, 1 Ce 2.34
N: 0.2853 0.7147 0.4314  2 Np 2.29, 1 Ce 2.40
N: 0.3690 0.6310 0.8259  1 Sb 2.11, 1 Np 2.15
N: 0.4915 0.5085 0.5916  1 Sb 2.15
N: 0.5085 0.4915 0.0916  1 Sb 2.15
N: 0.6310 0.3690 0.3259  1 Sb 2.11, 1 Np 2.15
N: 0.7145 0.2855 0.6610  2 Np 2.32, 1 Ce 2.34
N: 0.7147 0.2853 0.9314  2 Np 2.29, 1 Ce 2.40
N: 0.9630 0.0370 0.3939  2 Sb 2.15, 1 Ce 2.38

Values from the calculation:
E_form (uncorrected) (eV/atom): -0.75
Uncorrected energy (eV/atom): -8.59
Space group: Cmc2_1